Record 1
Na4DyPa3N8 after structural relaxation. Source: Alexandria via LeMat-Bulk, functional PBE-GGA.

volume = 499 Å³ per cell
E_form (uncorrected) = -1030 meV per atom
electronic total energy = -242.9 eV/cell

```
data_Na4DyPa3N8
_cell_length_a 12.133
_cell_length_b 7.101
_cell_length_c 7.026
_cell_angle_alpha 90.00
_cell_angle_beta 124.44
_cell_angle_gamma 90.00
_space_group_name_H-M_alt 'C 1 2/m 1'
_space_group_IT_number 12
loop_
_space_group_symop_operation_xyz
'x,y,z'
'-x,-y,-z'
'-x,y,-z'
'x,-y,z'
'x+1/2,y+1/2,z'
'-x+1/2,-y+1/2,-z'
'-x+1/2,y+1/2,-z'
'x+1/2,-y+1/2,z'
loop_
_atom_site_label
_atom_site_type_symbol
_atom_site_fract_x
_atom_site_fract_y
_atom_site_fract_z
Na1 Na 0.000 0.000 0.000
Na2 Na 0.000 0.500 0.000
Na3 Na 0.250 0.250 0.500
Dy1 Dy 0.000 0.000 0.500
Pa1 Pa 0.000 0.500 0.500
Pa2 Pa 0.250 0.250 0.000
N1 N 0.024 0.261 0.735
N2 N 0.231 0.500 0.771
N3 N 0.236 0.000 0.785
```



Record 2
NaDyPa2N5 after structural relaxation. Source: Alexandria via LeMat-Bulk, functional PBE-GGA.

volume = 557 Å³ per cell
E_form (uncorrected) = -1042 meV per atom
electronic total energy = -303.7 eV/cell

```
data_NaDyPa2N5
_cell_length_a 6.683
_cell_length_b 6.683
_cell_length_c 12.481
_cell_angle_alpha 90.00
_cell_angle_beta 90.00
_cell_angle_gamma 90.00
_space_group_name_H-M_alt 'I 4/m c m'
_space_group_IT_number 140
_space_group_name_Hall '-I 4 2c'
loop_
_atom_site_label
_atom_site_type_symbol
_atom_site_fract_x
_atom_site_fract_y
_atom_site_fract_z
Na1 Na 0.000 0.000 0.250
Dy1 Dy 0.000 0.500 0.250
Pa1 Pa 0.172 0.328 0.000
N1 N 0.000 0.000 0.000
N2 N 0.155 0.345 0.385
```



Record 3
NaDyPa4N8 after structural relaxation. Source: Alexandria via LeMat-Bulk, functional PBE-GGA.

volume = 684 Å³ per cell
E_form (uncorrected) = -1414 meV per atom
electronic total energy = -390.9 eV/cell

```
data_NaDyPa4N8
_cell_length_a 7.0924
_cell_length_b 7.0924
_cell_length_c 15.6971
_cell_angle_alpha 90.00
_cell_angle_beta 90.00
_cell_angle_gamma 120.00
_space_group_name_H-M_alt 'R 3 m'
_space_group_IT_number 160
_space_group_name_Hall 'R 3 -2"'
loop_
_atom_site_label
_atom_site_type_symbol
_atom_site_fract_x
_atom_site_fract_y
_atom_site_fract_z
Na1 Na 0.0000 0.0000 0.0000
Dy1 Dy 0.0000 0.0000 0.6238
Pa1 Pa 0.0000 0.0000 0.4048
Pa2 Pa 0.1669 0.3338 0.8377
N1 N 0.0000 0.0000 0.2512
N2 N 0.0000 0.0000 0.7683
N3 N 0.0186 0.5093 0.7598
N4 N 0.1684 0.3368 0.5614
```